Density functional theory data (GGA-PBEsol) for a relaxed structure of CuPdO2.

Results
- Magnetic moment: 0.0 μB/f.u.
- Uncorrected formation energy: -0.56 eV/atom

Unit cell a=4.163 b=4.198 c=5.211 alpha=90.00 beta=90.00 gamma=90.00
Element x y z (fractional)
Cu: 0.000 0.500 0.000
Cu: 0.000 0.000 0.500
O: 0.233 0.750 0.750
O: 0.767 0.250 0.250
O: 0.233 0.750 0.250
O: 0.767 0.250 0.750
Pd: 0.500 0.000 0.000
Pd: 0.500 0.500 0.500

***

Density functional theory data (GGA-PBEsol) for a relaxed structure of TeAuSe2.

Results
- Excess energy over the best structure of this formula in the dataset: 0.221 eV per atom
- Magnetic moment: 0.0 μB/f.u.
- Uncorrected formation energy: 0.21 eV/atom

Unit cell a=3.792 b=4.113 c=7.468 alpha=90.00 beta=90.00 gamma=117.45
Element x y z (fractional)
Au: 0.500 0.000 0.000
Se: 0.000 0.000 0.770
Se: 0.000 0.000 0.230
Te: 0.500 0.000 0.500

***

Density functional theory data (GGA-PBEsol) for a relaxed structure of La5Hg.

Results
- Excess energy over the best structure of this formula in the dataset: 0.042 eV per atom
- Energy relative to the elements: -0.1391 eV per atom
- Magnetic moment: 0.0 μB/f.u.

Unit cell a=4.868 b=4.988 c=7.910 alpha=90.00 beta=107.94 gamma=90.00
Element x y z (fractional)
La: 0.841 0.500 0.682
La: 0.500 0.500 0.000
La: 0.159 0.500 0.318
La: 0.671 0.000 0.343
La: 0.329 0.000 0.657
Hg: 0.000 0.000 0.000

***

Density functional theory data (GGA-PBEsol) for a relaxed structure of Cs2LiSbCl6.

Results
- Magnetic moment: 0.0 μB/f.u.
- Uncorrected formation energy: -1.56 eV/atom

Unit cell a=7.353 b=7.353 c=7.353 alpha=60.00 beta=60.00 gamma=60.00
Element x y z (fractional)
Sb: 0.000 0.000 0.000
Cl: 0.746 0.254 0.746
Cl: 0.254 0.746 0.746
Cl: 0.746 0.746 0.254
Cl: 0.746 0.254 0.254
Cl: 0.254 0.254 0.746
Cl: 0.254 0.746 0.254
Cs: 0.750 0.750 0.750
Cs: 0.250 0.250 0.250
Li: 0.500 0.500 0.500

***

Density functional theory data (GGA-PBEsol) for a relaxed structure of Li3MnCu3O8.

Results
- Magnetic moment: 2.9 μB/f.u.
- Uncorrected formation energy: -1.18 eV/atom

Unit cell a=5.776 b=5.776 c=5.797 alpha=60.12 beta=60.12 gamma=60.00
Each line ends with the local moment (μB).
Element x y z (fractional)
Mn: 0.000 0.000 0.000  2.53
Cu: 0.000 0.500 0.000  -0.85
Cu: 0.500 0.000 0.000  -0.85
Cu: 0.500 0.500 0.000  -0.85
Li: 0.000 0.000 0.500  -0.01
Li: 0.500 0.000 0.500  -0.01
Li: 0.000 0.500 0.500  -0.01
O: 0.741 0.741 0.776  -0.40
O: 0.229 0.760 0.782  -0.29
O: 0.760 0.229 0.782  -0.29
O: 0.771 0.240 0.218  -0.29
O: 0.771 0.771 0.218  -0.29
O: 0.229 0.229 0.782  -0.29
O: 0.240 0.771 0.218  -0.29
O: 0.259 0.259 0.224  -0.40

***

Density functional theory data (GGA-PBEsol) for a relaxed structure of ZrZnTePd2.

Results
- Magnetic moment: 0.0 μB/f.u.
- Uncorrected formation energy: 0.48 eV/atom

Unit cell a=4.822 b=4.822 c=5.283 alpha=90.00 beta=90.00 gamma=90.00
Element x y z (fractional)
Pd: 0.500 0.000 0.000
Pd: 0.000 0.500 0.000
Zn: 0.500 0.500 0.500
Zr: 0.000 0.000 0.500
Te: 0.000 0.000 0.000

***

Density functional theory data (GGA-PBEsol) for a relaxed structure of ScCdRe2.

Results
- Energy relative to the elements: -0.0179 eV per atom
- Magnetic moment: 0.0 μB/f.u.

Unit cell a=3.040 b=3.040 c=7.510 alpha=90.00 beta=90.00 gamma=90.00
Element x y z (fractional)
Re: 0.500 0.500 0.223
Re: 0.000 0.000 0.034
Sc: 0.000 0.000 0.475
Cd: 0.500 0.500 0.769

***

Density functional theory data (GGA-PBEsol) for a relaxed structure of Cr2CoRu.

Results
- Energy relative to the elements: 0.0704 eV per atom
- Magnetic moment: 0.0 μB/f.u.

Unit cell a=3.556 b=3.584 c=3.584 alpha=90.00 beta=90.00 gamma=90.00
Element x y z (fractional)
Ru: 0.500 0.500 0.500
Co: 0.500 0.000 0.000
Cr: 0.000 0.000 0.500
Cr: 0.000 0.500 0.000

***

Number 8 is which compound? Cr2CoRu